First-principles (PBE-GGA) data for a relaxed structure of La2PmDy2Y, as listed in Alexandria via LeMat-Bulk.

Output
* ΔE_f: 0.059 eV per atom
* N(E_F): 1.70 states/eV per atom
* V: 33.9 Å³ per atom
* density: 6.82 g cm⁻³

Cell lengths 7.147, 5.742, 9.925 Å; angles 90.00, 90.00, 90.00 degrees
Fractional positions:
1 La 0.000 0.000 0.000
2 La 0.250 0.500 0.176
3 La 0.500 0.000 0.000
4 La 0.750 0.500 0.824
5 Pm 0.250 0.000 0.660
6 Pm 0.750 0.000 0.340
7 Dy 0.250 0.000 0.334
8 Dy 0.250 0.500 0.834
9 Dy 0.750 0.000 0.666
10 Dy 0.750 0.500 0.166
11 Y 0.000 0.500 0.500
12 Y 0.500 0.500 0.500



First-principles (PBE-GGA) data for a relaxed structure of TbPm3Pr2Sb6, as listed in Alexandria via LeMat-Bulk.

Output
* N(E_F): 0.16 states/eV per atom
* energy relative to the elements, uncorrected: -114 kJ/mol of atoms
* V: 32.2 Å³ per atom
* density: 6.90 g cm⁻³

Cell lengths 10.059, 10.059, 8.997 Å; angles 102.93, 102.93, 25.86 degrees
Fractional positions:
1 Tb 0.000 0.000 0.000
2 Pm 0.000 0.000 0.500
3 Pm 0.332 0.332 0.166
4 Pm 0.668 0.668 0.834
5 Pr 0.334 0.334 0.668
6 Pr 0.666 0.666 0.332
7 Sb 0.165 0.165 0.079
8 Sb 0.166 0.166 0.586
9 Sb 0.498 0.498 0.245
10 Sb 0.502 0.502 0.755
11 Sb 0.834 0.834 0.414
12 Sb 0.835 0.835 0.921



First-principles (PBE-GGA) data for a relaxed structure of LiBiPd3, as listed in Alexandria via LeMat-Bulk.

Output
* ΔE_f: -0.145 eV per atom
* N(E_F): 0.29 states/eV per atom
* energy above the lowest structure with this stoichiometry: 131 meV per atom
* V: 17.1 Å³ per atom
* density: 10.37 g cm⁻³

Cell lengths 6.519, 6.519, 4.659 Å; angles 90.00, 90.00, 120.00 degrees
Fractional positions:
1 Li 0.000 0.000 0.000
2 Li 0.000 0.000 0.500
3 Bi 0.333 0.667 0.250
4 Bi 0.667 0.333 0.750
5 Pd 0.187 0.374 0.750
6 Pd 0.187 0.813 0.750
7 Pd 0.374 0.187 0.250
8 Pd 0.626 0.813 0.750
9 Pd 0.813 0.187 0.250
10 Pd 0.813 0.626 0.250



First-principles (PBE-GGA) data for a relaxed structure of Ce2PtRh, as listed in Alexandria via LeMat-Bulk.

Output
* ΔE_f: -0.201 eV per atom
* N(E_F): 1.43 states/eV per atom
* V: 20.3 Å³ per atom
* density: 11.81 g cm⁻³

Cell lengths 10.281, 10.281, 10.281 Å; angles 17.02, 17.02, 17.02 degrees
Fractional positions:
1 Ce 0.089 0.089 0.089
2 Ce 0.911 0.911 0.911
3 Pt 0.000 0.000 0.000
4 Rh 0.500 0.500 0.500



Question: Which value of N(E_F) does entry 2 give?
Answer: 0.16 states/eV per atom



Question: Which formula does entry 4 have?
Answer: Ce2PtRh